The following is a DFT calculation (GGA-PBE) of a geometry-optimized MgTaTl2 structure.

Energy relative to the elements   456 meV per atom

Unit cell a=3.187 b=4.234 c=6.411 alpha=90.00 beta=90.00 gamma=90.00
Space group Pmmm (No. 47)
Asymmetric unit:
Mg 0.000 0.000 0.000 (multiplicity 1)
Ta 0.000 0.000 0.500 (multiplicity 1)
Tl 0.500 0.500 0.253 (multiplicity 2)

---

The following is a DFT calculation (GGA-PBE) of a geometry-optimized CaLa2Pb2 structure.

Energy relative to the elements   -262 meV per atom

Unit cell a=4.817 b=4.817 c=15.127 alpha=90.00 beta=90.00 gamma=90.00
Space group I4/mmm (No. 139)
Asymmetric unit:
Ca 0.000 0.000 0.000 (multiplicity 2)
La 0.000 0.500 0.250 (multiplicity 4)
Pb 0.000 0.000 0.402 (multiplicity 4)

---

Listing DFT total energy for the structures above in their given order: -4.089, -4.117 eV per atom.
Listing spin magnetization for the structures above in their given order: 0.0, 0.0 μB/f.u..
Listing D(E_F) for the structures above in their given order: 0.747, 1.443 states/eV/atom.